RePd2SI (PBE-GGA, optimized geometry); uncorrected energy = -0.289 Ry per atom; energy relative to the elements, uncorrected = 1.765 eV/atom; space group = P4/mmm, No. 123; volume = 25.75 Å³ per atom
1.0
-3.5894 -3.2354 -1.1660
0.3093 -2.0639 4.7746
-3.4264 3.2198 1.6137
I Re Pd S
1 1 2 1
direct
0.0000 0.0000 0.0000
0.5000 0.5000 0.5000
0.5000 0.0000 0.0000
0.0000 0.0000 0.5000
0.0000 0.5000 0.0000